Cr3CdF | PBE with a Hubbard U | optimized geometry

Lattice parameters (Å, degrees): 5.2854 5.2854 5.2854 90.00 90.00 90.00
Last column: magnetic moment on the atom in μB.
Element x y z (fractional)
Cr 0.0000 0.5000 0.0000  4.38
Cr 0.5000 0.0000 0.0000  4.23
Cr 0.0000 0.0000 0.5000  4.48
F 0.5000 0.5000 0.5000  0.01
Cd 0.0000 0.0000 0.0000  0.07

SG = Pm-3m
Energy relative to the lowest polymorph listed for this composition = 803 meV/atom
Total magnetic moment = 14.61 μB/cell